[1]
The following is a PBE calculation of crystalline CaIrRh3 at its relaxed geometry, from Alexandria.

Values from the calculation:
**Calculated formation energy**: 1.9219 eV per atom
**Excess energy over the best structure of this formula in the dataset**: 1315.5 meV/atom
**Space group**: Pm-3m (221)
**Spin magnetization**: 3.8 μB per cell

Lattice parameters (Å, degrees): 4.6250 4.6250 4.6250 90.00 90.00 90.00
Site moments in Bohr magnetons follow the coordinates.
Sites, in units of the cell vectors:
Rh 0.0000 0.5000 0.0000  0.78
Ir 0.5000 0.5000 0.5000  1.46
Rh 0.5000 0.0000 0.0000  0.97
Ca 0.0000 0.0000 0.0000  -0.04
Rh 0.0000 0.0000 0.5000  0.66


[2]
The following is a PBE calculation of crystalline Ca2IrRh at its relaxed geometry, from Alexandria.

Values from the calculation:
**Calculated formation energy**: -0.2152 eV per atom
**Space group**: Cm (8)
**Spin magnetization**: 0.0 μB per cell

Lattice parameters (Å, degrees): 5.7490 5.7490 5.1071 72.03 72.03 30.75
Sites, in units of the cell vectors:
Rh 0.7832 0.7832 0.7839
Ir 0.4687 0.4687 0.4647
Ca 0.0221 0.0221 0.9351
Ca 0.2260 0.2260 0.3163


[3]
The following is a PBE calculation of crystalline CaIr4Rh at its relaxed geometry, from Alexandria.

Values from the calculation:
**Calculated formation energy**: 0.1212 eV per atom
**Space group**: F-43m (216)
**Spin magnetization**: 3.6 μB per cell

Lattice parameters (Å, degrees): 5.2541 5.2541 5.2541 60.00 60.00 60.00
Site moments in Bohr magnetons follow the coordinates.
Sites, in units of the cell vectors:
Rh 0.7500 0.7500 0.7500  1.32
Ca 0.0000 0.0000 0.0000  -0.01
Ir 0.8744 0.3752 0.3752  0.56
Ir 0.3752 0.3752 0.8744  0.56
Ir 0.3752 0.3752 0.3752  0.56
Ir 0.3752 0.8744 0.3752  0.56


[4]
The following is a PBE calculation of crystalline CaIr2Rh at its relaxed geometry, from Alexandria.

Values from the calculation:
**Calculated formation energy**: 0.0358 eV per atom
**Excess energy over the best structure of this formula in the dataset**: 53.5 meV/atom
**Space group**: P4/mmm (123)
**Spin magnetization**: 0.0 μB per cell

Lattice parameters (Å, degrees): 2.8448 2.8448 8.2140 90.00 90.00 90.00
Sites, in units of the cell vectors:
Rh 0.5000 0.5000 0.2500
Ir 0.0000 0.0000 0.4679
Ir 0.0000 0.0000 0.0321
Ca 0.5000 0.5000 0.7500


[5]
The following is a PBE calculation of crystalline Ca2IrRh at its relaxed geometry, from Alexandria.

Values from the calculation:
**Calculated formation energy**: 0.1767 eV per atom
**Space group**: I-42d (122)
**Spin magnetization**: 0.0 μB per cell

Lattice parameters (Å, degrees): 7.7106 7.7106 6.1410 51.11 51.11 90.00
Sites, in units of the cell vectors:
Ca 0.8750 0.8718 0.7500
Rh 0.2500 0.7500 0.5000
Ca 0.1282 0.6250 0.2500
Ca 0.6218 0.1250 0.2500
Ir 0.7500 0.2500 0.5000
Rh 0.5000 0.5000 0.0000
Ir 0.0000 0.0000 0.0000
Ca 0.3750 0.3782 0.7500


[6]
The following is a PBE calculation of crystalline Ca2Ir3Rh at its relaxed geometry, from Alexandria.

Values from the calculation:
**Calculated formation energy**: -0.4528 eV per atom
**Space group**: R-3m (166)
**Spin magnetization**: 0.0 μB per cell

Lattice parameters (Å, degrees): 5.3223 5.3223 5.3993 90.00 119.54 119.98
Sites, in units of the cell vectors:
Ir 0.5000 0.0000 0.5000
Ca 0.2483 0.6243 0.8726
Ca 0.7517 0.3757 0.1274
Rh 0.0000 0.0000 0.0000
Ir 0.0000 0.0000 0.5000
Ir 0.5000 0.5000 0.5000